No. 1
Compound: Dy2Fe3B6
Source: Alexandria
Functional: PBE-GGA
Structure: optimized geometry Values from VASP.

```
&SYSTEM
  ibrav = 0, nat = 11, ntyp = 3
/
ATOMIC_SPECIES
B 10.81 B.upf
Dy 162.50 Dy.upf
Fe 55.84 Fe.upf
CELL_PARAMETERS angstrom
-0.420 -0.100 3.481
-3.984 -4.196 -0.601
4.772 -3.292 0.482
ATOMIC_POSITIONS crystal
B 0.500 0.619 0.619
B 0.500 0.081 0.386
B 0.500 0.614 0.919
B 0.500 0.919 0.614
B 0.500 0.386 0.081
B 0.500 0.381 0.381
Dy 0.000 0.286 0.714
Dy 0.000 0.714 0.286
Fe 0.500 0.000 0.000
Fe 0.000 0.793 0.793
Fe 0.000 0.207 0.207
```

Results
- spin magnetization (μB/f.u.) = 4.2
- DFT total energy (eV per atom) = -7.2669

No. 2
Compound: HfZn3Re
Source: Alexandria
Functional: PBE-GGA
Structure: optimized geometry Values from VASP.

```
&SYSTEM
  ibrav = 0, nat = 5, ntyp = 3
/
ATOMIC_SPECIES
Re 186.21 Re.upf
Zn 65.41 Zn.upf
Hf 178.49 Hf.upf
CELL_PARAMETERS angstrom
-4.190 -0.045 -2.752
1.359 -4.393 -1.998
-2.393 -2.415 3.684
ATOMIC_POSITIONS crystal
Re 0.500 0.500 0.500
Zn 0.000 0.500 0.000
Zn 0.500 0.000 0.000
Zn 0.000 0.000 0.500
Hf 0.000 0.000 0.000
```

Results
- spin magnetization (μB/f.u.) = 2.4
- relative energy among the computed polymorphs (kJ/mol of atoms) = 99.2

No. 3
Compound: Cr2SbPb
Source: Alexandria
Functional: PBE-GGA
Structure: optimized geometry Values from VASP.

```
&SYSTEM
  ibrav = 0, nat = 4, ntyp = 3
/
ATOMIC_SPECIES
Pb 207.20 Pb.upf
Cr 52.00 Cr.upf
Sb 121.76 Sb.upf
CELL_PARAMETERS angstrom
5.098 0.000 0.000
2.549 4.415 0.000
2.549 1.472 4.162
ATOMIC_POSITIONS crystal
Pb 0.500 0.500 0.500
Cr 0.250 0.250 0.250
Cr 0.000 0.000 0.000
Sb 0.750 0.750 0.750
```

Results
- uncorrected formation energy (kJ/mol of formula units) = 312.5
- spin magnetization (μB/f.u.) = 8.6
- relative energy among the computed polymorphs (kJ/mol of atoms) = 51.1

No. 4
Compound: KSb2Br
Source: Alexandria
Functional: PBE-GGA
Structure: optimized geometry Values from VASP.

```
&SYSTEM
  ibrav = 0, nat = 4, ntyp = 3
/
ATOMIC_SPECIES
Br 79.90 Br.upf
K 39.10 K.upf
Sb 121.76 Sb.upf
CELL_PARAMETERS angstrom
5.560 0.000 0.000
2.780 4.815 0.000
2.780 1.605 4.539
ATOMIC_POSITIONS crystal
Br 0.500 0.500 0.500
K 0.250 0.250 0.250
Sb 0.750 0.750 0.750
Sb 0.000 0.000 0.000
```

Results
- uncorrected formation energy (kJ/mol of formula units) = -105.1
- spin magnetization (μB/f.u.) = 0.0
- relative energy among the computed polymorphs (kJ/mol of atoms) = 38.3

No. 5
Compound: Cr3CdAs
Source: Alexandria
Functional: PBE-GGA
Structure: optimized geometry Values from VASP.

```
&SYSTEM
  ibrav = 0, nat = 5, ntyp = 3
/
ATOMIC_SPECIES
Cr 52.00 Cr.upf
As 74.92 As.upf
Cd 112.41 Cd.upf
CELL_PARAMETERS angstrom
-0.263 4.561 -2.082
-4.449 0.749 2.203
2.312 1.960 4.002
ATOMIC_POSITIONS crystal
Cr 0.000 0.500 0.000
Cr 0.500 0.000 0.000
Cr 0.000 0.000 0.500
As 0.500 0.500 0.500
Cd 0.000 0.000 0.000
```

Results
- spin magnetization (μB/f.u.) = 12.6
- relative energy among the computed polymorphs (kJ/mol of atoms) = 79.5

No. 6
Compound: La2MoW
Source: Alexandria
Functional: PBE-GGA
Structure: optimized geometry Values from VASP.

```
&SYSTEM
  ibrav = 0, nat = 4, ntyp = 3
/
ATOMIC_SPECIES
La 138.91 La.upf
W 183.84 W.upf
Mo 95.94 Mo.upf
CELL_PARAMETERS angstrom
3.137 -0.081 0.000
-1.246 2.880 0.000
0.000 0.000 9.751
ATOMIC_POSITIONS crystal
La 0.000 0.000 0.495
La 0.000 0.000 0.005
W 0.500 0.500 0.750
Mo 0.500 0.500 0.250
```

Results
- spin magnetization (μB/f.u.) = 0.0
- relative energy among the computed polymorphs (kJ/mol of atoms) = 54.0

No. 7
Compound: Y7Tm2Sc2
Source: Alexandria
Functional: PBE-GGA
Structure: optimized geometry Values from VASP.

```
&SYSTEM
  ibrav = 0, nat = 11, ntyp = 3
/
ATOMIC_SPECIES
Y 88.91 Y.upf
Sc 44.96 Sc.upf
Tm 168.93 Tm.upf
CELL_PARAMETERS angstrom
8.236 0.920 1.328
0.064 6.378 1.038
0.064 -1.268 6.336
ATOMIC_POSITIONS crystal
Y 0.586 0.160 0.160
Y 0.414 0.840 0.840
Y 0.801 0.539 0.911
Y 0.199 0.461 0.089
Y 0.801 0.911 0.539
Y 0.000 0.000 0.000
Y 0.199 0.089 0.461
Sc 0.852 0.396 0.396
Sc 0.148 0.604 0.604
Tm 0.500 0.323 0.677
Tm 0.500 0.677 0.323
```

Results
- spin magnetization (μB/f.u.) = 0.2
- relative energy among the computed polymorphs (kJ/mol of atoms) = 1.4

No. 8
Compound: AgTe2Os
Source: Alexandria
Functional: PBE-GGA
Structure: optimized geometry Values from VASP.

```
&SYSTEM
  ibrav = 0, nat = 4, ntyp = 3
/
ATOMIC_SPECIES
Ag 107.87 Ag.upf
Os 190.23 Os.upf
Te 127.60 Te.upf
CELL_PARAMETERS angstrom
-3.538 -4.333 0.714
1.090 -3.559 4.236
-0.418 5.583 -0.678
ATOMIC_POSITIONS crystal
Ag 0.500 0.500 0.000
Os 0.750 0.250 0.500
Te 0.250 0.750 0.500
Te 0.000 0.000 0.000
```

Results
- uncorrected formation energy (kJ/mol of formula units) = 336.1
- spin magnetization (μB/f.u.) = 0.0
- relative energy among the computed polymorphs (kJ/mol of atoms) = 62.6